Tb6Pm3Pr2Ho | Alexandria via LeMat-Bulk | PBE | relaxed; DFT total energy = -4.668 eV/atom; ΔH_f (0 K) = 13 meV per atom
1.0
-5.8112 -1.2548 -1.9244
1.5146 -0.7001 6.0219
-1.6616 11.7833 0.7095
Tb Pr Pm Ho
6 2 3 1
direct
0.9165 0.5841 0.7498 Tb
0.4159 0.0835 0.2502 Tb
0.2487 0.2487 0.7496 Tb
0.7513 0.7513 0.2504 Tb
0.5841 0.9165 0.7498 Tb
0.0835 0.4159 0.2502 Tb
0.3334 0.6666 0.0000 Pr
0.6666 0.3334 0.0000 Pr
0.5000 0.5000 0.5000 Pm
0.1666 0.8334 0.5000 Pm
0.8334 0.1666 0.5000 Pm
0.0000 0.0000 0.0000 Ho



TmCu4Ir | Alexandria via LeMat-Bulk | PBE | relaxed; DFT total energy = -5.211 eV/atom; ΔH_f (0 K) = -258 meV per atom
1.0
4.9389 0.0000 0.0000
2.4695 4.2772 0.0000
2.4695 1.4257 4.0326
Cu Ir Tm
4 1 1
direct
0.1274 0.6242 0.6242 Cu
0.6242 0.6242 0.1274 Cu
0.6242 0.1274 0.6242 Cu
0.6242 0.6242 0.6242 Cu
0.2500 0.2500 0.2500 Ir
0.0000 0.0000 0.0000 Tm



SrTcRh | Alexandria via LeMat-Bulk | PBE | relaxed; DFT total energy = -6.375 eV/atom; polymorph energy (0 for the lowest one) = 0 meV/atom; ΔH_f (0 K) = 91 meV per atom
1.0
-3.9681 3.3018 2.3740
-0.4326 -3.8859 4.0550
1.2698 5.4912 0.7184
Tc Sr Rh
2 2 2
direct
0.9115 0.5551 0.5080 Tc
0.9628 0.9602 0.9643 Tc
0.3088 0.9489 0.2991 Sr
0.5643 0.1943 0.7999 Sr
0.4489 0.5601 0.5431 Rh
0.9415 0.5602 0.0505 Rh



YMnIn2P | Alexandria via LeMat-Bulk | PBE | relaxed; DFT total energy = -4.487 eV/atom; ΔH_f (0 K) = 817 meV per atom
1.0
5.9048 0.0000 0.0000
0.0000 5.1585 0.0000
0.0000 0.0000 5.9048
Mn In Y P
1 2 1 1
direct
0.5000 0.5000 0.5000 Mn
0.5000 0.0000 0.0000 In
0.0000 0.0000 0.5000 In
0.0000 0.0000 0.0000 Y
0.0000 0.5000 0.0000 P



La3TlCd | Alexandria via LeMat-Bulk | PBE | relaxed; DFT total energy = -3.321 eV/atom; polymorph energy (0 for the lowest one) = 580 meV/atom; ΔH_f (0 K) = 292 meV per atom
1.0
-4.6043 -0.9933 3.6064
3.4335 -3.3920 3.4493
1.4846 4.7644 3.2075
Tl Cd La
1 1 3
direct
0.5000 0.5000 0.5000 Tl
0.0000 0.0000 0.0000 Cd
0.0000 0.0000 0.5000 La
0.0000 0.5000 0.0000 La
0.5000 0.0000 0.0000 La



PmPr5Sb6 | Alexandria via LeMat-Bulk | PBE | relaxed; DFT total energy = -5.640 eV/atom
1.0
7.8744 0.2156 0.0000
2.4238 7.4938 0.0000
1.2119 3.7469 6.8215
Sb Pm Pr
6 1 5
direct
0.7515 0.0828 0.3313 Sb
0.2485 0.9172 0.6687 Sb
0.7510 0.7518 0.0000 Sb
0.7515 0.4141 0.6687 Sb
0.2490 0.2482 0.0000 Sb
0.2485 0.5859 0.3313 Sb
0.0000 0.0000 0.0000 Pm
0.5000 0.1673 0.6654 Pr
0.0000 0.3335 0.3330 Pr
0.5000 0.8327 0.3346 Pr
0.5000 0.5000 0.0000 Pr
0.0000 0.6665 0.6670 Pr



SrPSeO2 | Alexandria via LeMat-Bulk | PBE | relaxed; DFT total energy = -4.695 eV/atom; polymorph energy (0 for the lowest one) = 0 meV/atom
1.0
4.1958 0.0000 0.0000
0.0000 4.1958 0.0000
0.0000 0.0000 4.7689
O Sr Se P
2 1 1 1
direct
0.5000 0.0000 0.0000 O
0.0000 0.5000 0.0000 O
0.5000 0.5000 0.5000 Sr
0.0000 0.0000 0.0000 Se
0.0000 0.0000 0.5000 P



Er3ScHg12 | Alexandria via LeMat-Bulk | PBE | relaxed; DFT total energy = -1.750 eV/atom; ΔH_f (0 K) = -273 meV per atom
1.0
-1.4300 -2.7457 3.2209
-3.1608 -1.5682 -2.7401
11.9911 -13.4450 -6.1374
Hg Sc Er
12 1 3
direct
0.0000 0.5000 0.6266 Hg
0.5000 0.0000 0.6266 Hg
0.5000 0.0000 0.1209 Hg
0.5000 0.5000 0.0000 Hg
0.5000 0.5000 0.2469 Hg
0.5000 0.0000 0.8791 Hg
0.5000 0.5000 0.5000 Hg
0.0000 0.5000 0.8791 Hg
0.0000 0.5000 0.1209 Hg
0.5000 0.0000 0.3734 Hg
0.5000 0.5000 0.7531 Hg
0.0000 0.5000 0.3734 Hg
0.0000 0.0000 0.0000 Sc
0.0000 0.0000 0.7537 Er
0.0000 0.0000 0.5000 Er
0.0000 0.0000 0.2463 Er



Ba2SrAs2 | Alexandria via LeMat-Bulk | PBE | relaxed; DFT total energy = -4.033 eV/atom; polymorph energy (0 for the lowest one) = 0 meV/atom; ΔH_f (0 K) = -1068 meV per atom
1.0
-8.2245 -1.5899 2.4222
2.5994 -6.2801 4.7041
0.5865 7.1604 9.2352
Ba Sr As
8 4 8
direct
0.3570 0.6540 0.8953 Ba
0.0020 0.2974 0.7224 Ba
0.9980 0.7026 0.2776 Ba
0.8570 0.8460 0.8953 Ba
0.4980 0.7974 0.2776 Ba
0.6430 0.3460 0.1047 Ba
0.5020 0.2026 0.7224 Ba
0.1430 0.1540 0.1047 Ba
0.3553 0.3585 0.3958 Sr
0.8553 0.1415 0.3958 Sr
0.1447 0.8585 0.6042 Sr
0.6447 0.6415 0.6042 Sr
0.7059 0.4762 0.3688 As
0.7941 0.9762 0.6312 As
0.2941 0.5238 0.6312 As
0.7094 0.4884 0.8461 As
0.2094 0.0116 0.8461 As
0.2059 0.0238 0.3688 As
0.2906 0.5116 0.1539 As
0.7906 0.9884 0.1539 As



Ni2AsAu | Alexandria via LeMat-Bulk | PBE | relaxed; DFT total energy = -4.812 eV/atom; polymorph energy (0 for the lowest one) = 103 meV/atom; ΔH_f (0 K) = 60 meV per atom
1.0
-0.0454 4.3879 -0.5333
-1.9589 -0.4978 -3.9290
-2.5757 0.1274 1.2680
Ni Au As
2 1 1
direct
0.5000 0.5000 0.0000 Ni
0.0000 0.0000 0.0000 Ni
0.0000 0.5000 0.5000 Au
0.5000 0.0000 0.5000 As



CsBaAs2Br | Alexandria via LeMat-Bulk | PBE | relaxed; DFT total energy = -3.064 eV/atom; polymorph energy (0 for the lowest one) = 0 meV/atom
1.0
-5.8990 -2.5783 -0.8966
0.9056 -3.8625 5.1488
-2.5089 4.4308 3.7652
Cs Ba As Br
1 1 2 1
direct
0.5000 0.5000 0.5000 Cs
0.0000 0.0000 0.0000 Ba
0.0000 0.5000 0.0000 As
0.5000 0.0000 0.0000 As
0.0000 0.0000 0.5000 Br



KAlTl2 | Alexandria via LeMat-Bulk | PBE | relaxed; DFT total energy = -2.269 eV/atom; polymorph energy (0 for the lowest one) = 95 meV/atom; ΔH_f (0 K) = 125 meV per atom
1.0
-1.5492 5.7649 1.0643
0.7402 0.5333 5.9946
3.4107 -1.2885 -4.8450
Al Tl K
1 2 1
direct
0.7500 0.2500 0.5000 Al
0.9569 0.9569 0.0000 Tl
0.5431 0.5431 0.0000 Tl
0.2500 0.7500 0.5000 K



- Which of these has the highest DFT total energy?
  Er3ScHg12